Entry from Alexandria via LeMat-Bulk: a relaxed structure of NdCu8Ag3 (PBE).

Results
ΔH_f (0 K)	-0.039	eV per atom
symmetry	P3m1

The structure in POSCAR format:
```
NdCu8Ag3
1.0
-4.7715 -1.4607 -0.6580
3.7303 -3.3625 -0.3352
-0.6479 -1.5246 8.0832
Nd Cu Ag
1 8 3
direct
0.0000 0.0000 0.5647
0.3333 0.6667 0.4983
0.3333 0.6667 0.9988
0.5020 0.0041 0.7606
0.5020 0.4980 0.7606
0.9959 0.4980 0.7606
0.1665 0.3330 0.2436
0.1665 0.8335 0.2436
0.6670 0.8335 0.2436
0.6667 0.3333 0.4156
0.6667 0.3333 0.0582
0.0000 0.0000 0.9518
```